# 1
A geometry-optimized Tb2HoMg3AlGa2 structure. Source: the Open Quantum Materials Database, functional PBE-GGA.

The structure in CIF format:
```
data_Tb2HoMg3AlGa2
_chemical_formula_sum 'Tb2 Ho1 Mg3 Al1 Ga2'
_cell_length_a 4.505
_cell_length_b 7.276
_cell_length_c 7.276
_cell_angle_alpha 119.82
_cell_angle_beta 90.00
_cell_angle_gamma 90.00
_space_group_name_H-M_alt 'P 1'
_space_group_IT_number 1
loop_
_space_group_symop_operation_xyz
'x,y,z'
loop_
_atom_site_label
_atom_site_fract_x
_atom_site_fract_y
_atom_site_fract_z
Tb1 0.000 0.217 0.783
Tb2 0.000 0.783 0.217
Ho1 0.000 0.348 0.348
Mg1 0.500 0.027 0.027
Mg2 0.500 0.538 0.782
Mg3 0.500 0.782 0.538
Al1 0.000 0.781 0.781
Ga1 0.500 0.117 0.449
Ga2 0.500 0.449 0.117
```

# 2
A geometry-optimized HoTm2Mg3AlGa2 structure. Source: the Open Quantum Materials Database, functional PBE-GGA.

The structure in CIF format:
```
data_HoTm2Mg3AlGa2
_chemical_formula_sum 'Ho1 Tm2 Mg3 Al1 Ga2'
_cell_length_a 4.473
_cell_length_b 7.220
_cell_length_c 7.220
_cell_angle_alpha 120.18
_cell_angle_beta 90.00
_cell_angle_gamma 90.00
_space_group_name_H-M_alt 'P 1'
_space_group_IT_number 1
loop_
_space_group_symop_operation_xyz
'x,y,z'
loop_
_atom_site_label
_atom_site_fract_x
_atom_site_fract_y
_atom_site_fract_z
Ho1 0.000 0.000 0.000
Tm1 0.000 0.129 0.564
Tm2 0.000 0.564 0.129
Mg1 0.500 0.320 0.320
Mg2 0.500 0.564 0.808
Mg3 0.500 0.808 0.564
Al1 0.000 0.562 0.562
Ga1 0.500 0.232 0.897
Ga2 0.500 0.897 0.232
```

# 3
A geometry-optimized Ho2TmMg3AlGa2 structure. Source: the Open Quantum Materials Database, functional PBE-GGA.

The structure in CIF format:
```
data_Ho2TmMg3AlGa2
_chemical_formula_sum 'Ho2 Tm1 Mg3 Al1 Ga2'
_cell_length_a 4.480
_cell_length_b 7.223
_cell_length_c 7.223
_cell_angle_alpha 119.82
_cell_angle_beta 90.00
_cell_angle_gamma 90.00
_space_group_name_H-M_alt 'P 1'
_space_group_IT_number 1
loop_
_space_group_symop_operation_xyz
'x,y,z'
loop_
_atom_site_label
_atom_site_fract_x
_atom_site_fract_y
_atom_site_fract_z
Ho1 0.000 0.218 0.782
Ho2 0.000 0.782 0.218
Tm1 0.000 0.347 0.347
Mg1 0.500 0.026 0.026
Mg2 0.500 0.538 0.782
Mg3 0.500 0.782 0.538
Al1 0.000 0.780 0.780
Ga1 0.500 0.116 0.448
Ga2 0.500 0.448 0.116
```

# 4
A geometry-optimized HoAl3GaNi structure. Source: the Open Quantum Materials Database, functional PBE-GGA.

The structure in CIF format:
```
data_HoAl3GaNi
_chemical_formula_sum 'Ho2 Al6 Ga2 Ni2'
_cell_length_a 7.897
_cell_length_b 7.897
_cell_length_c 6.652
_cell_angle_alpha 90.00
_cell_angle_beta 90.00
_cell_angle_gamma 150.30
_space_group_name_H-M_alt 'P 1'
_space_group_IT_number 1
loop_
_space_group_symop_operation_xyz
'x,y,z'
loop_
_atom_site_label
_atom_site_fract_x
_atom_site_fract_y
_atom_site_fract_z
Ho1 0.117 0.883 0.750
Ho2 0.883 0.117 0.250
Al1 0.075 0.925 0.250
Al2 0.311 0.689 0.553
Al3 0.311 0.689 0.947
Al4 0.689 0.311 0.053
Al5 0.689 0.311 0.447
Al6 0.925 0.075 0.750
Ga1 0.500 0.500 0.000
Ga2 0.500 0.500 0.500
Ni1 0.227 0.773 0.250
Ni2 0.773 0.227 0.750
```

# 5
A geometry-optimized HoAl3GaNi structure. Source: the Open Quantum Materials Database, functional PBE-GGA.

The structure in CIF format:
```
data_HoAl3GaNi
_chemical_formula_sum 'Ho2 Al6 Ga2 Ni2'
_cell_length_a 7.908
_cell_length_b 7.908
_cell_length_c 6.636
_cell_angle_alpha 90.00
_cell_angle_beta 90.00
_cell_angle_gamma 150.28
_space_group_name_H-M_alt 'P 1'
_space_group_IT_number 1
loop_
_space_group_symop_operation_xyz
'x,y,z'
loop_
_atom_site_label
_atom_site_fract_x
_atom_site_fract_y
_atom_site_fract_z
Ho1 0.119 0.881 0.750
Ho2 0.881 0.119 0.250
Al1 0.312 0.688 0.552
Al2 0.312 0.688 0.948
Al3 0.500 0.500 0.000
Al4 0.500 0.500 0.500
Al5 0.688 0.312 0.052
Al6 0.688 0.312 0.448
Ga1 0.072 0.928 0.250
Ga2 0.928 0.072 0.750
Ni1 0.225 0.775 0.250
Ni2 0.775 0.225 0.750
```

# 6
A geometry-optimized Ho2AlGa3Ni2 structure. Source: the Open Quantum Materials Database, functional PBE-GGA.

The structure in CIF format:
```
data_Ho2AlGa3Ni2
_chemical_formula_sum 'Ho2 Al1 Ga3 Ni2'
_cell_length_a 5.435
_cell_length_b 5.435
_cell_length_c 6.742
_cell_angle_alpha 90.32
_cell_angle_beta 90.32
_cell_angle_gamma 44.16
_space_group_name_H-M_alt 'P 1'
_space_group_IT_number 1
loop_
_space_group_symop_operation_xyz
'x,y,z'
loop_
_atom_site_label
_atom_site_fract_x
_atom_site_fract_y
_atom_site_fract_z
Ho1 0.000 0.000 0.000
Ho2 0.136 0.136 0.505
Al1 0.415 0.415 0.308
Ga1 0.423 0.423 0.699
Ga2 0.713 0.713 0.807
Ga3 0.714 0.714 0.200
Ni1 0.282 0.282 0.999
Ni2 0.857 0.857 0.503
```

# 7
A geometry-optimized Ho2AlGaPd4 structure. Source: the Open Quantum Materials Database, functional PBE-GGA.

The structure in CIF format:
```
data_Ho2AlGaPd4
_chemical_formula_sum 'Ho2 Al1 Ga1 Pd4'
_cell_length_a 4.384
_cell_length_b 4.384
_cell_length_c 9.065
_cell_angle_alpha 90.00
_cell_angle_beta 90.00
_cell_angle_gamma 120.00
_space_group_name_H-M_alt 'P 1'
_space_group_IT_number 1
loop_
_space_group_symop_operation_xyz
'x,y,z'
loop_
_atom_site_label
_atom_site_fract_x
_atom_site_fract_y
_atom_site_fract_z
Ho1 0.333 0.667 0.249
Ho2 0.667 0.333 0.751
Al1 0.000 0.000 0.500
Ga1 0.000 0.000 0.000
Pd1 0.333 0.667 0.581
Pd2 0.333 0.667 0.918
Pd3 0.667 0.333 0.082
Pd4 0.667 0.333 0.419
```

# 8
A geometry-optimized Ho3AlGa2Si2Pt structure. Source: the Open Quantum Materials Database, functional PBE-GGA.

The structure in CIF format:
```
data_Ho3AlGa2Si2Pt
_chemical_formula_sum 'Ho3 Al1 Ga2 Si2 Pt1'
_cell_length_a 4.211
_cell_length_b 6.941
_cell_length_c 6.941
_cell_angle_alpha 121.44
_cell_angle_beta 90.00
_cell_angle_gamma 90.00
_space_group_name_H-M_alt 'P 1'
_space_group_IT_number 1
loop_
_space_group_symop_operation_xyz
'x,y,z'
loop_
_atom_site_label
_atom_site_fract_x
_atom_site_fract_y
_atom_site_fract_z
Ho1 0.000 0.000 0.000
Ho2 0.000 0.409 0.829
Ho3 0.000 0.829 0.409
Al1 0.500 0.652 0.652
Ga1 0.500 0.173 0.418
Ga2 0.500 0.418 0.173
Si1 0.500 0.074 0.749
Si2 0.500 0.749 0.074
Pt1 0.000 0.427 0.427
```

# 9
A geometry-optimized Ho3AlGa2Sn2Pt structure. Source: the Open Quantum Materials Database, functional PBE-GGA.

The structure in CIF format:
```
data_Ho3AlGa2Sn2Pt
_chemical_formula_sum 'Ho3 Al1 Ga2 Sn2 Pt1'
_cell_length_a 4.342
_cell_length_b 7.336
_cell_length_c 7.336
_cell_angle_alpha 121.83
_cell_angle_beta 90.00
_cell_angle_gamma 90.00
_space_group_name_H-M_alt 'P 1'
_space_group_IT_number 1
loop_
_space_group_symop_operation_xyz
'x,y,z'
loop_
_atom_site_label
_atom_site_fract_x
_atom_site_fract_y
_atom_site_fract_z
Ho1 0.000 0.000 0.000
Ho2 0.000 0.388 0.785
Ho3 0.000 0.785 0.388
Al1 0.500 0.617 0.617
Ga1 0.500 0.170 0.399
Ga2 0.500 0.399 0.170
Sn1 0.500 0.055 0.728
Sn2 0.500 0.728 0.055
Pt1 0.000 0.408 0.408
```

# 10
A geometry-optimized Ho3Al2GaSn2Pt structure. Source: the Open Quantum Materials Database, functional PBE-GGA.

The structure in CIF format:
```
data_Ho3Al2GaSn2Pt
_chemical_formula_sum 'Ho3 Al2 Ga1 Sn2 Pt1'
_cell_length_a 4.336
_cell_length_b 7.221
_cell_length_c 7.221
_cell_angle_alpha 118.96
_cell_angle_beta 90.00
_cell_angle_gamma 90.00
_space_group_name_H-M_alt 'P 1'
_space_group_IT_number 1
loop_
_space_group_symop_operation_xyz
'x,y,z'
loop_
_atom_site_label
_atom_site_fract_x
_atom_site_fract_y
_atom_site_fract_z
Ho1 0.000 0.000 0.000
Ho2 0.000 0.201 0.593
Ho3 0.000 0.593 0.201
Al1 0.500 0.601 0.823
Al2 0.500 0.823 0.601
Ga1 0.500 0.375 0.375
Sn1 0.500 0.265 0.926
Sn2 0.500 0.926 0.265
Pt1 0.000 0.613 0.613
```

# 11
A geometry-optimized Nd2AlGaI2 structure. Source: the Open Quantum Materials Database, functional PBE-GGA.

The structure in CIF format:
```
data_Nd2AlGaI2
_chemical_formula_sum 'Nd2 Al1 Ga1 I2'
_cell_length_a 4.312
_cell_length_b 4.312
_cell_length_c 12.616
_cell_angle_alpha 90.00
_cell_angle_beta 90.00
_cell_angle_gamma 120.00
_space_group_name_H-M_alt 'P 1'
_space_group_IT_number 1
loop_
_space_group_symop_operation_xyz
'x,y,z'
loop_
_atom_site_label
_atom_site_fract_x
_atom_site_fract_y
_atom_site_fract_z
Nd1 0.000 0.000 0.000
Nd2 0.000 0.000 0.336
Al1 0.667 0.333 0.182
Ga1 0.333 0.667 0.150
I1 0.333 0.667 0.499
I2 0.667 0.333 0.837
```

# 12
A geometry-optimized Pr2AlGaI2 structure. Source: the Open Quantum Materials Database, functional PBE-GGA.

The structure in CIF format:
```
data_Pr2AlGaI2
_chemical_formula_sum 'Pr2 Al1 Ga1 I2'
_cell_length_a 4.341
_cell_length_b 4.341
_cell_length_c 12.529
_cell_angle_alpha 90.00
_cell_angle_beta 90.00
_cell_angle_gamma 120.00
_space_group_name_H-M_alt 'P 1'
_space_group_IT_number 1
loop_
_space_group_symop_operation_xyz
'x,y,z'
loop_
_atom_site_label
_atom_site_fract_x
_atom_site_fract_y
_atom_site_fract_z
Pr1 0.000 0.000 0.000
Pr2 0.000 0.000 0.343
Al1 0.667 0.333 0.158
Ga1 0.333 0.667 0.190
I1 0.333 0.667 0.835
I2 0.667 0.333 0.509
```

Sequential final energy output: -3.58 -3.53 -3.55 -4.64 -4.62 -4.79 -5.51 -5.33 -4.92 -5.02 -4.25 -4.26 eV per atom